Density functional theory data (PBE with a Hubbard U) for a geometry-optimized Li2Ti2Fe3O10 structure.

a = 5.163 Å, b = 5.195 Å, c = 7.825 Å
α = 75.89°, β = 77.30°, γ = 75.14°
Each line ends with the local moment (μB).
Fractional positions:
Li1 0.566 0.797 0.383  0.00
Li2 0.434 0.203 0.617  0.00
Ti1 0.000 0.868 0.684  0.05
Ti2 0.000 0.132 0.316  0.05
Fe1 0.500 0.000 0.000  4.05
Fe2 0.948 0.306 0.900  4.28
Fe3 0.052 0.694 0.100  4.28
O1 0.211 0.946 0.862  0.23
O2 0.771 0.957 0.506  0.00
O3 0.778 0.684 0.940  0.12
O4 0.302 0.815 0.209  0.09
O5 0.141 0.510 0.686  0.07
O6 0.859 0.490 0.314  0.07
O7 0.698 0.185 0.791  0.09
O8 0.222 0.316 0.060  0.12
O9 0.229 0.043 0.494  0.00
O10 0.789 0.054 0.138  0.23

Calculated values
Uncorrected energy = -7.103 eV/atom
Calculated volume = 11.4 A^3/atom